(1)
This record from Alexandria describes a geometry-optimized BaLiMn2 structure. The functional is PBE.

Unit cell a=3.7736 b=4.9395 c=5.1212 alpha=90.00 beta=90.00 gamma=90.00
Space group Pmmm (No. 47)
Inequivalent atoms, fractional coordinates:
Ba (0.0000, 0.0000, 0.0000) (multiplicity 1)
Li (0.5000, 0.5000, 0.0000) (multiplicity 1)
Mn (0.0000, 0.5000, 0.5000) (multiplicity 1)
Mn (0.5000, 0.0000, 0.5000) (multiplicity 1)

electronic total energy: -4.762 eV per atom
crystal system: orthorhombic
E above lowest polymorph: 1.44 eV/f.u.
ρ: 4.4 Mg/m³
energy relative to the elements: 0.782 eV per atom


(2)
This record from Alexandria describes a geometry-optimized BaLiMn2 structure. The functional is PBE.

Unit cell a=3.5244 b=3.5555 c=7.7335 alpha=90.00 beta=90.00 gamma=90.00
Space group Pmm2 (No. 25)
Inequivalent atoms, fractional coordinates:
Ba (0.0000, 0.0000, 0.0000) (multiplicity 1)
Li (0.5000, 0.5000, 0.3517) (multiplicity 1)
Mn (0.0000, 0.0000, 0.5348) (multiplicity 1)
Mn (0.5000, 0.5000, 0.6986) (multiplicity 1)

electronic total energy: -4.946 eV per atom
crystal system: orthorhombic
E above lowest polymorph: 0.71 eV/f.u.
ρ: 4.4 Mg/m³
energy relative to the elements: 0.598 eV per atom


(3)
This record from Alexandria describes a geometry-optimized BaLiMn2 structure. The functional is PBE.

Unit cell a=3.9729 b=4.3800 c=12.5227 alpha=90.00 beta=90.00 gamma=90.00
Space group Imm2 (No. 44)
Inequivalent atoms, fractional coordinates:
Ba (0.0000, 0.0000, 0.0000) (multiplicity 2)
Li (0.0000, 0.5000, 0.7345) (multiplicity 2)
Mn (0.0000, 0.0000, 0.3734) (multiplicity 2)
Mn (0.0000, 0.5000, 0.2546) (multiplicity 2)

electronic total energy: -4.842 eV per atom
crystal system: orthorhombic
E above lowest polymorph: 1.12 eV/f.u.
ρ: 3.9 Mg/m³
energy relative to the elements: 0.702 eV per atom


(4)
This record from Alexandria describes a geometry-optimized BaLiMn2 structure. The functional is PBE.

Unit cell a=7.5105 b=7.5105 c=7.5105 alpha=90.00 beta=90.00 gamma=90.00
Space group Fm-3m (No. 225)
Inequivalent atoms, fractional coordinates:
Ba (0.0000, 0.0000, 0.0000) (multiplicity 4)
Li (0.0000, 0.0000, 0.5000) (multiplicity 4)
Mn (0.2500, 0.2500, 0.2500) (multiplicity 8)

electronic total energy: -4.754 eV per atom
crystal system: cubic
E above lowest polymorph: 1.47 eV/f.u.
ρ: 4.0 Mg/m³
energy relative to the elements: 0.790 eV per atom


(5)
This record from Alexandria describes a geometry-optimized BaLiMn2 structure. The functional is PBE.

Unit cell a=3.5516 b=3.5516 c=7.5394 alpha=90.00 beta=90.00 gamma=90.00
Space group P4/mmm (No. 123)
Inequivalent atoms, fractional coordinates:
Ba (0.0000, 0.0000, 0.0000) (multiplicity 1)
Li (0.0000, 0.0000, 0.5000) (multiplicity 1)
Mn (0.5000, 0.5000, 0.3242) (multiplicity 2)

electronic total energy: -4.886 eV per atom
crystal system: tetragonal
E above lowest polymorph: 0.94 eV/f.u.
ρ: 4.4 Mg/m³
energy relative to the elements: 0.658 eV per atom


(6)
This record from Alexandria describes a geometry-optimized BaLiMn structure. The functional is PBE.

Unit cell a=7.3784 b=7.3784 c=7.3784 alpha=90.00 beta=90.00 gamma=90.00
Space group F-43m (No. 216)
Inequivalent atoms, fractional coordinates:
Ba (0.0000, 0.0000, 0.0000) (multiplicity 4)
Li (0.2500, 0.2500, 0.2500) (multiplicity 4)
Mn (0.0000, 0.0000, 0.5000) (multiplicity 4)

electronic total energy: -3.641 eV per atom
crystal system: cubic
E above lowest polymorph: 0.61 eV/f.u.
ρ: 3.3 Mg/m³
energy relative to the elements: 0.694 eV per atom


(7)
This record from Alexandria describes a geometry-optimized BaLiMnMo2 structure. The functional is PBE.

Unit cell a=5.0228 b=5.0228 c=4.7758 alpha=90.00 beta=90.00 gamma=90.00
Space group P4/mmm (No. 123)
Inequivalent atoms, fractional coordinates:
Ba (0.0000, 0.0000, 0.0000) (multiplicity 1)
Li (0.5000, 0.5000, 0.5000) (multiplicity 1)
Mn (0.0000, 0.0000, 0.5000) (multiplicity 1)
Mo (0.0000, 0.5000, 0.0000) (multiplicity 2)

electronic total energy: -4.064 eV per atom
crystal system: tetragonal
ρ: 5.4 Mg/m³
energy relative to the elements: 2.869 eV per atom


(8)
This record from Alexandria describes a geometry-optimized BaLiMnN2 structure. The functional is PBE.

Unit cell a=4.7962 b=11.5415 c=5.0870 alpha=90.00 beta=90.00 gamma=90.00
Space group Cmme (No. 67)
Inequivalent atoms, fractional coordinates:
Ba (0.0000, 0.2500, 0.2483) (multiplicity 4)
Li (0.0000, 0.0000, 0.5000) (multiplicity 4)
Mn (0.2500, 0.0000, 0.0000) (multiplicity 4)
N (0.0000, 0.0962, 0.8108) (multiplicity 8)

electronic total energy: -6.391 eV per atom
crystal system: orthorhombic
ρ: 5.4 Mg/m³
raw formation energy: -2.3 eV per formula unit


(9)
This record from Alexandria describes a geometry-optimized BaLiMnNb2 structure. The functional is PBE.

Unit cell a=5.1641 b=5.1641 c=5.1765 alpha=90.00 beta=90.00 gamma=90.00
Space group P4/mmm (No. 123)
Inequivalent atoms, fractional coordinates:
Ba (0.0000, 0.0000, 0.0000) (multiplicity 1)
Li (0.5000, 0.5000, 0.5000) (multiplicity 1)
Mn (0.0000, 0.0000, 0.5000) (multiplicity 1)
Nb (0.0000, 0.5000, 0.0000) (multiplicity 2)

electronic total energy: -4.322 eV per atom
crystal system: tetragonal
ρ: 4.6 Mg/m³
energy relative to the elements: 2.307 eV per atom